Run w
Here is an optimized crystal structure of Cr2FeBr from Alexandria. Energies are from PBE-GGA.

The structure in POSCAR format:
```
Cr2FeBr
1.0
-1.055 -4.197 -0.721
1.063 -3.334 -2.646
4.101 -4.672 2.420
Cr Fe Br
2 1 1
Cartesian
2.534 -6.820 -0.268
3.630 -11.485 -1.153
3.082 -9.153 -0.710
1.027 -3.051 -0.237
```

## Properties
Density ... 5.6 g cm⁻³
SG ... C2/m (12)
N(E_F) ... 3.29 states/eV/cell



Run x
Here is an optimized crystal structure of Cr2FeBr from Alexandria. Energies are from PBE-GGA.

The structure in POSCAR format:
```
Cr2FeBr
1.0
7.976 -0.039 -0.023
7.473 2.787 -0.023
7.473 1.329 2.449
Cr Fe Br
2 1 1
Cartesian
11.561 2.056 1.212
22.823 4.059 2.393
5.731 1.019 0.601
17.192 3.057 1.802
```

## Properties
Density ... 7.2 g cm⁻³
SG ... R-3m (166)
N(E_F) ... 5.26 states/eV/cell



Run y
Here is an optimized crystal structure of Cr2FeBr from Alexandria. Energies are from PBE-GGA.

The structure in POSCAR format:
```
Cr2FeBr
1.0
4.974 -0.039 0.001
2.444 4.332 -0.001
-3.291 -2.869 2.383
Br Cr Fe
1 2 1
Cartesian
1.431 1.805 1.191
3.621 2.096 0.000
0.088 0.051 0.000
2.696 -0.381 1.192
```

## Properties
Density ... 7.7 g cm⁻³
SG ... Immm (71)
N(E_F) ... 5.08 states/eV/cell



Run z
Here is an optimized crystal structure of Cr2FeBr from Alexandria. Energies are from PBE-GGA.

The structure in POSCAR format:
```
Cr2FeBr
1.0
-1.702 -4.886 1.001
0.053 -1.861 4.931
-1.609 4.298 -2.591
Fe Br Cr
1 1 2
Cartesian
-0.825 -3.373 2.966
-2.068 -1.981 0.688
0.000 0.000 0.000
-1.190 -0.468 2.653
```

## Properties
Density ... 6.3 g cm⁻³
SG ... I-4m2 (119)
N(E_F) ... 4.03 states/eV/cell



Which structure is most stable, and how do the rest compare? From most to least stable: run w, run x, run z, run y.



Run w
Here is an optimized crystal structure of Cr2FeBr from Alexandria. Energies are from PBE-GGA.

The structure in POSCAR format:
```
Cr2FeBr
1.0
7.829 -0.067 -0.040
7.250 2.954 -0.040
7.250 1.388 2.608
Cr Br Fe
2 1 1
Cartesian
22.107 4.233 2.504
5.593 1.071 0.633
16.763 3.210 1.898
11.358 2.175 1.286
```

## Properties
Density ... 6.4 g cm⁻³
SG ... R3m (160)
N(E_F) ... 4.09 states/eV/cell



Run x
Here is an optimized crystal structure of Cr2FeBr from Alexandria. Energies are from PBE-GGA.

The structure in POSCAR format:
```
Cr2FeBr
1.0
-1.400 0.671 3.926
2.465 -0.910 3.305
1.648 3.115 2.326
Cr Fe Br
2 1 1
Cartesian
0.000 0.000 0.000
0.678 0.719 2.389
2.034 2.157 7.168
1.356 1.438 4.778
```

## Properties
Density ... 7.5 g cm⁻³
SG ... F-43m (216)
N(E_F) ... 4.28 states/eV/cell



Run y
Here is an optimized crystal structure of Cr2FeBr from Alexandria. Energies are from PBE-GGA.

The structure in POSCAR format:
```
Cr2FeBr
1.0
7.149 0.877 -0.908
6.167 3.720 -0.908
0.366 0.126 3.027
Cr Br Fe
2 1 1
Cartesian
0.775 0.268 -0.097
8.986 3.102 0.322
4.261 1.471 0.930
6.503 2.245 0.662
```

## Properties
Density ... 6.1 g cm⁻³
SG ... Cm (8)
N(E_F) ... 3.93 states/eV/cell



Run z
Here is an optimized crystal structure of Cr2FeBr from Alexandria. Energies are from PBE-GGA.

The structure in POSCAR format:
```
Cr2FeBr
1.0
-0.501 -3.237 5.578
6.343 0.763 1.012
2.265 1.889 5.050
Cr Br Fe
4 2 2
Cartesian
6.588 -0.774 9.519
4.113 0.516 6.294
4.451 0.431 2.788
1.064 -1.341 4.679
2.343 -1.292 6.962
0.000 0.000 0.000
2.921 -1.237 3.295
5.765 0.708 4.679
```

## Properties
Density ... 5.2 g cm⁻³
SG ... I-42d (122)
N(E_F) ... 5.68 states/eV/cell



Which structure is most stable, and how do the rest compare? From most to least stable: run y, run w, run z, run x.



Run w
Here is an optimized crystal structure of Cr2FeBr from Alexandria. Energies are from PBE-GGA.

The structure in POSCAR format:
```
Cr2FeBr
1.0
-2.302 1.520 0.993
-1.627 -1.015 -2.218
-1.734 -4.931 3.529
Fe Cr Br
1 2 1
Cartesian
-2.398 -0.980 0.270
-0.822 -2.339 1.673
-0.045 -0.127 0.091
-3.265 -3.446 2.034
```

## Properties
Density ... 7.3 g cm⁻³
SG ... P4/mmm (123)
N(E_F) ... 3.69 states/eV/cell



Run x
Here is an optimized crystal structure of Cr2FeBr from Alexandria. Energies are from PBE-GGA.

The structure in POSCAR format:
```
Cr2FeBr
1.0
-1.741 2.415 -0.743
-1.170 0.402 4.052
3.403 2.674 0.718
Br Cr Fe
1 2 1
Cartesian
1.117 1.538 2.385
0.000 0.000 0.000
-1.456 1.409 1.654
0.831 2.545 -0.012
```

## Properties
Density ... 7.0 g cm⁻³
SG ... Pmmm (47)
N(E_F) ... 3.64 states/eV/cell



Which structure is most stable, and how do the rest compare? From most to least stable: run w, run x.



Run w
Here is an optimized crystal structure of CrFe2Br from Alexandria. Energies are from PBE-GGA.

The structure in POSCAR format:
```
CrFe2Br
1.0
-0.447 2.027 -1.918
-1.706 0.166 2.247
5.392 4.733 3.745
Br Fe Cr
1 2 1
Cartesian
0.271 2.280 1.101
2.848 2.500 1.978
5.240 4.599 3.639
2.968 4.646 2.973
```

## Properties
Density ... 6.8 g cm⁻³
SG ... Cmmm (65)
N(E_F) ... 5.11 states/eV/cell



Run x
Here is an optimized crystal structure of CrFe2Br from Alexandria. Energies are from PBE-GGA.

The structure in POSCAR format:
```
CrFe2Br
1.0
-4.098 -0.262 -4.932
-1.690 -4.629 -4.111
0.799 2.322 5.929
Fe Br Cr
2 1 1
Cartesian
-3.051 -0.154 -1.691
-5.198 -4.392 -8.121
-3.266 -2.760 -5.103
-2.156 -2.599 -1.763
```

## Properties
Density ... 5.6 g cm⁻³
SG ... Imm2 (44)
N(E_F) ... 2.37 states/eV/cell



Which structure is most stable, and how do the rest compare? From most to least stable: run x, run w.



Run w
Here is an optimized crystal structure of CrFe2Br from Alexandria. Energies are from PBE-GGA.

The structure in POSCAR format:
```
CrFe2Br
1.0
-4.069 -0.522 2.382
-2.649 -3.285 -2.166
4.518 -0.054 1.444
Br Fe Cr
1 2 1
Cartesian
-3.359 -1.904 0.108
0.000 0.000 0.000
-0.745 -2.621 -0.307
-1.455 -1.240 1.966
```

## Properties
Density ... 6.9 g cm⁻³
SG ... I-4m2 (119)
N(E_F) ... 6.10 states/eV/cell



Run x
Here is an optimized crystal structure of CrFe2Br from Alexandria. Energies are from PBE-GGA.

The structure in POSCAR format:
```
CrFe2Br
1.0
4.270 0.000 0.000
2.135 3.698 0.000
2.135 1.233 3.487
Fe Cr Br
2 1 1
Cartesian
0.000 0.000 0.000
6.406 3.698 2.615
2.135 1.233 0.872
4.270 2.466 1.743
```

## Properties
Density ... 7.3 g cm⁻³
SG ... F-43m (216)
N(E_F) ... 3.42 states/eV/cell



Run y
Here is an optimized crystal structure of CrFe2Br from Alexandria. Energies are from PBE-GGA.

The structure in POSCAR format:
```
CrFe2Br
1.0
-1.544 -1.976 3.771
1.408 -2.066 3.776
0.107 3.644 2.616
Fe Br Cr
2 1 1
Cartesian
-0.022 -0.431 5.063
-0.130 -3.811 7.565
-0.022 -0.299 7.622
-0.007 -0.100 2.541
```

## Properties
Density ... 7.2 g cm⁻³
SG ... C2/m (12)
N(E_F) ... 4.65 states/eV/cell



Run z
Here is an optimized crystal structure of CrFe2Br from Alexandria. Energies are from PBE-GGA.

The structure in POSCAR format:
```
CrFe2Br
1.0
0.000 2.956 2.956
2.956 0.000 2.956
2.956 2.956 0.000
Fe Cr Br
2 1 1
Cartesian
1.478 1.478 1.478
4.435 4.435 4.435
0.000 0.000 0.000
2.956 2.956 2.956
```

## Properties
Density ... 7.8 g cm⁻³
SG ... Fm-3m (225)
N(E_F) ... 5.52 states/eV/cell



Which structure is most stable, and how do the rest compare? From most to least stable: run y, run x, run w, run z.



Run w
Here is an optimized crystal structure of CrFe2Br from Alexandria. Energies are from PBE-GGA.

The structure in POSCAR format:
```
CrFe2Br
1.0
-2.089 1.090 -1.956
-2.805 0.240 3.129
1.376 4.265 0.906
Fe Br Cr
2 1 1
Cartesian
0.000 0.000 0.000
-2.447 0.665 0.586
-0.357 2.677 -0.525
-0.715 2.252 2.018
```

## Properties
Density ... 6.9 g cm⁻³
SG ... Pmmm (47)
N(E_F) ... 4.57 states/eV/cell



Run x
Here is an optimized crystal structure of CrFe2Br from Alexandria. Energies are from PBE-GGA.

The structure in POSCAR format:
```
CrFe2Br
1.0
-0.823 2.102 -3.557
2.590 -2.564 -2.114
-2.212 -1.786 -0.544
Fe Cr Br
2 1 1
Cartesian
0.883 -0.231 -2.836
0.000 0.000 0.000
0.189 -2.175 -1.329
-1.518 0.158 -2.050
```

## Properties
Density ... 7.9 g cm⁻³
SG ... P4/mmm (123)
N(E_F) ... 6.56 states/eV/cell



Which structure is most stable, and how do the rest compare? From most to least stable: run w, run x.



Run w
Here is an optimized crystal structure of CrFe2Br from Alexandria. Energies are from PBE-GGA.

The structure in POSCAR format:
```
CrFe2Br
1.0
-2.159 0.540 4.813
-5.220 -0.438 0.826
3.964 -2.564 -2.414
Br Fe Cr
1 2 1
Cartesian
-2.472 -1.475 0.616
0.000 0.000 0.000
-3.690 0.051 2.819
-0.942 -0.986 2.609
```

## Properties
Density ... 6.6 g cm⁻³
SG ... I4/mmm (139)
N(E_F) ... 5.60 states/eV/cell



Run x
Here is an optimized crystal structure of CrFe2Br from Alexandria. Energies are from PBE-GGA.

The structure in POSCAR format:
```
CrFe2Br
1.0
-0.930 2.677 0.821
-2.429 -1.202 1.168
3.093 -0.682 5.728
Cr Fe Br
1 2 1
Cartesian
0.641 0.226 5.291
1.633 -0.360 3.024
3.006 -0.663 5.568
-0.906 0.567 2.427
```

## Properties
Density ... 7.1 g cm⁻³
SG ... P4/mmm (123)
N(E_F) ... 4.84 states/eV/cell



Which structure is most stable, and how do the rest compare? From most to least stable: run x, run w.



Run w
Here is an optimized crystal structure of CrFeBr from Alexandria. Energies are from PBE-GGA.

The structure in POSCAR format:
```
CrFeBr
1.0
-2.728 -5.053 -2.087
1.365 -5.882 -0.933
0.020 4.995 3.518
Br Cr Fe
1 1 1
Cartesian
-1.345 -10.790 -2.980
-0.451 -3.620 -1.000
-0.930 -7.458 -2.060
```

## Properties
Density ... 5.8 g cm⁻³
SG ... I4mm (107)
N(E_F) ... 4.87 states/eV/cell



Run x
Here is an optimized crystal structure of CrFeBr from Alexandria. Energies are from PBE-GGA.

The structure in POSCAR format:
```
CrFeBr
1.0
3.325 0.000 0.000
-1.662 2.879 0.000
0.000 0.000 5.494
Cr Fe Br
1 1 1
Cartesian
1.662 0.960 2.064
0.000 1.919 3.365
0.000 0.000 0.065
```

## Properties
Density ... 5.9 g cm⁻³
SG ... P3m1 (156)
N(E_F) ... 2.99 states/eV/cell



Which structure is most stable, and how do the rest compare? From most to least stable: run x, run w.